# Ac5Pd2

Crystalline Ac5Pd2 at its relaxed geometry (PBE-GGA, Alexandria via LeMat-Bulk).

Properties
formation energy from the elements = -473 meV per atom
raw total energy = -4.89 eV per atom
volume = 1014 Å³ per cell

Lattice parameters (Å, degrees): 18.6507 7.0392 7.7878 90.00 97.21 90.00
Last column: nearest neighbours and their distance in Å.
Space group C2/c (No. 15)
Unique sites:
Ac (0.0000, 0.0784, 0.2500)  4 Pd 3.15-3.16
Ac (0.0972, 0.4061, 0.9211)  2 Pd 3.12-3.15
Ac (0.2139, 0.0806, 0.3112)  2 Pd 3.10-3.13
Pd (0.1089, 0.1827, 0.5804)  6 Ac 3.10-3.16